Entry 1:
NbCrSe5, optimized geometry, DFT PBE-GGA; spin magnetization = 0.38 μB per atom; space group = P2_1/m, No. 11; total energy = -5.896 eV/atom; formation energy without anion corrections = -0.59 eV per atom
1.0
-3.4944 -0.4801 0.3099
1.3849 -9.5327 0.8478
1.3495 -3.5140 9.7726
Nb Cr Se
2 2 10
direct
0.2500 0.7222 0.3653
0.7500 0.2778 0.6347
0.7500 0.5686 0.1041
0.2500 0.4314 0.8959
0.2500 0.4833 0.6348
0.7500 0.6328 0.8493
0.7500 0.5167 0.3652
0.2500 0.1743 0.5026
0.7500 0.8257 0.4974
0.7500 0.9506 0.2457
0.7500 0.2382 0.9113
0.2500 0.0494 0.7543
0.2500 0.7618 0.0887
0.2500 0.3672 0.1507



Entry 2:
Nb2CrSe, optimized geometry, DFT PBE-GGA; spin magnetization = 0.75 μB per atom; space group = I-42d, No. 122; total energy = -7.959 eV/atom; formation energy without anion corrections = 0.35 eV per atom
1.0
3.8574 0.0000 0.0000
0.0000 3.8574 0.0000
1.9287 1.9287 9.7659
Cr Nb Se
2 4 2
direct
0.5000 0.5000 0.0000
0.2500 0.7500 0.5000
0.6275 0.1250 0.2500
0.1225 0.6250 0.2500
0.3750 0.3725 0.7500
0.8750 0.8775 0.7500
0.0000 0.0000 0.0000
0.7500 0.2500 0.5000



Entry 3:
Nb2CrSe4, optimized geometry, DFT PBE-GGA; spin magnetization = 0.28 μB per atom; space group = P6_3/mmc, No. 194; total energy = -6.841 eV/atom; formation energy without anion corrections = -0.60 eV per atom
1.0
3.6259 -6.2803 0.0000
3.6259 6.2803 0.0000
0.0000 0.0000 12.8232
Nb Cr Se
8 4 16
direct
0.4722 0.5278 0.7500
0.9443 0.4722 0.2500
0.0000 0.0000 0.2500
0.4722 0.9443 0.7500
0.0000 0.0000 0.7500
0.5278 0.4722 0.2500
0.0557 0.5278 0.7500
0.5278 0.0557 0.2500
0.0000 0.0000 0.5000
0.0000 0.0000 0.0000
0.6667 0.3333 0.7500
0.3333 0.6667 0.2500
0.8306 0.1694 0.8743
0.3333 0.6667 0.8997
0.6612 0.8306 0.1257
0.6612 0.8306 0.3743
0.3388 0.1694 0.8743
0.1694 0.3388 0.1257
0.1694 0.8306 0.1257
0.6667 0.3333 0.1003
0.1694 0.8306 0.3743
0.8306 0.1694 0.6257
0.8306 0.6612 0.6257
0.1694 0.3388 0.3743
0.8306 0.6612 0.8743
0.3388 0.1694 0.6257
0.3333 0.6667 0.6003
0.6667 0.3333 0.3997



Entry 4:
Nb2CrSe, optimized geometry, DFT PBE-GGA; spin magnetization = 0.40 μB per atom; space group = R-3m, No. 166; total energy = -7.806 eV/atom; formation energy without anion corrections = 0.51 eV per atom
1.0
3.0310 0.0000 0.0000
1.5155 2.6249 0.0000
1.5155 0.8750 8.9399
Cr Nb Se
1 2 1
direct
0.0000 0.0000 0.0000
0.0906 0.0906 0.7283
0.9094 0.9094 0.2717
0.5000 0.5000 0.5000



Entry 5:
NbCrSe2, optimized geometry, DFT PBE-GGA; spin magnetization = 0.00 μB per atom; space group = R-3m, No. 166; total energy = -6.688 eV/atom; formation energy without anion corrections = -0.02 eV per atom
1.0
1.7832 0.0000 8.5274
-0.8916 1.5443 8.5274
-0.8916 -1.5443 8.5274
Cr Nb Se
1 1 2
direct
0.5000 0.5000 0.5000
0.0000 0.0000 0.0000
0.8975 0.8975 0.8975
0.1025 0.1025 0.1025



Entry 6:
NbCr3Se, optimized geometry, DFT PBE-GGA; spin magnetization = 0.96 μB per atom; space group = Pm-3m, No. 221; total energy = -7.593 eV/atom; formation energy without anion corrections = 0.89 eV per atom
1.0
-0.5034 1.7794 -4.0008
-1.3411 -3.8962 -1.5642
-4.1682 1.0387 0.9864
Cr Nb Se
3 1 1
direct
0.0000 0.5000 0.0000
0.0000 0.0000 0.5000
0.5000 0.0000 0.0000
0.5000 0.5000 0.5000
0.0000 0.0000 0.0000